A relaxed structure of BaLaTe2O8. Source: Alexandria, functional PBE.

It has space group P-3m1 (No. 164), with a = 6.1514 Å, b = 6.1514 Å, c = 7.9185 Å, α = 90.00°, β = 90.00° and γ = 120.00°. The distinct sites, in fractional coordinates, are Ba at (0.0000, 0.0000, 0.0000), La at (0.0000, 0.0000, 0.5000), Te at (0.3333, 0.6667, 0.7795), O at (0.1625, 0.3250, 0.7092) and O at (0.3333, 0.6667, 0.0124).

For the volume, the calculation gives 21.6 Å³/atom. For the energy, the calculation gives -73.70 eV per cell.